(1)
The following is a PBE calculation of an optimized crystal structure of Ca2TaAg2, from Alexandria.

Values from the calculation:
Total magnetic moment: 3.8 μB per cell
Calculated formation energy: 2.655 eV per formula unit
D(E_F): 4.35 states/eV/f.u.

abc: 8.695 8.695 3.082
angles: 90.00 90.00 90.00
Each line ends with the local moment (μB).
Sites, in units of the cell vectors:
Ca1 0.350 0.850 0.000  0.06
Ca2 0.850 0.650 0.000  0.06
Ca3 0.650 0.150 0.000  0.06
Ca4 0.150 0.350 0.000  0.06
Ag1 0.150 0.650 0.500  0.03
Ag2 0.650 0.850 0.500  0.03
Ag3 0.850 0.350 0.500  0.03
Ag4 0.350 0.150 0.500  0.03
Ta1 0.000 0.000 0.000  0.93
Ta2 0.500 0.500 0.000  0.94

=====

(2)
The following is a PBE calculation of an optimized crystal structure of CaTa2Ag, from Alexandria.

Values from the calculation:
Total magnetic moment: 0.0 μB per cell
Calculated formation energy: 2.470 eV per formula unit
D(E_F): 3.36 states/eV/f.u.

abc: 6.016 6.016 6.016
angles: 150.60 125.88 62.79
Sites, in units of the cell vectors:
Ca1 0.259 0.759 0.500
Ag1 0.518 0.518 0.000
Ta1 0.970 0.970 0.000
Ta2 0.754 0.254 0.500

=====

(3)
The following is a PBE calculation of an optimized crystal structure of CaTa2Ag, from Alexandria.

Values from the calculation:
Total magnetic moment: 0.0 μB per cell
Calculated formation energy: 2.502 eV per formula unit
D(E_F): 2.96 states/eV/f.u.

abc: 10.778 10.778 10.778
angles: 15.82 15.82 15.82
Sites, in units of the cell vectors:
Ca1 0.750 0.750 0.750
Ag1 0.250 0.250 0.250
Ta1 0.994 0.994 0.994
Ta2 0.506 0.506 0.506

=====

(4)
The following is a PBE calculation of an optimized crystal structure of CaTa2Ag, from Alexandria.

Values from the calculation:
Total magnetic moment: 0.0 μB per cell
Calculated formation energy: 1.325 eV per formula unit
D(E_F): 3.73 states/eV/f.u.

abc: 3.456 3.456 7.366
angles: 90.00 90.00 90.00
Sites, in units of the cell vectors:
Ca1 0.500 0.500 0.749
Ag1 0.000 0.000 0.468
Ta1 0.000 0.000 0.058
Ta2 0.500 0.500 0.226

=====

(5)
The following is a PBE calculation of an optimized crystal structure of CaTa2Ag, from Alexandria.

Values from the calculation:
Total magnetic moment: 0.0 μB per cell
Calculated formation energy: 1.957 eV per formula unit
D(E_F): 3.99 states/eV/f.u.

abc: 3.215 4.681 5.481
angles: 90.00 90.00 90.00
Sites, in units of the cell vectors:
Ca1 0.000 0.500 0.500
Ag1 0.500 0.000 0.500
Ta1 0.000 0.000 0.000
Ta2 0.500 0.500 0.000

=====

(6)
The following is a PBE calculation of an optimized crystal structure of Ca4TaAg, from Alexandria.

Values from the calculation:
Total magnetic moment: 4.9 μB per cell
Calculated formation energy: 5.707 eV per formula unit
D(E_F): 8.18 states/eV/f.u.

abc: 6.404 6.404 6.404
angles: 60.00 60.00 60.00
Each line ends with the local moment (μB).
Sites, in units of the cell vectors:
Ca1 0.874 0.375 0.375  0.12
Ca2 0.375 0.375 0.874  0.12
Ca3 0.375 0.874 0.375  0.12
Ca4 0.375 0.375 0.375  0.12
Ta1 0.750 0.750 0.750  1.91
Ag1 0.000 0.000 0.000  0.02

=====

(7)
The following is a PBE calculation of an optimized crystal structure of CaTa2Ag, from Alexandria.

Values from the calculation:
Total magnetic moment: 0.0 μB per cell
Calculated formation energy: 2.122 eV per formula unit
D(E_F): 3.52 states/eV/f.u.

abc: 5.143 6.154 2.943
angles: 79.60 81.93 112.60
Sites, in units of the cell vectors:
Ca1 0.500 0.500 0.000
Ag1 0.000 0.500 0.500
Ta1 0.000 0.000 0.000
Ta2 0.500 0.000 0.500

=====

(8)
The following is a PBE calculation of an optimized crystal structure of CaTa2Ag, from Alexandria.

Values from the calculation:
Total magnetic moment: 0.0 μB per cell
Calculated formation energy: 2.667 eV per formula unit
D(E_F): 4.60 states/eV/f.u.

abc: 5.881 5.881 2.809
angles: 90.00 90.00 122.86
Sites, in units of the cell vectors:
Ca1 0.000 0.500 0.500
Ag1 0.500 0.000 0.500
Ta1 0.000 0.000 0.000
Ta2 0.500 0.500 0.000

=====

(9)
The following is a PBE calculation of an optimized crystal structure of CaTa2Ag, from Alexandria.

Values from the calculation:
Total magnetic moment: 0.0 μB per cell
Calculated formation energy: 1.512 eV per formula unit
D(E_F): 3.11 states/eV/f.u.

abc: 6.312 6.312 4.917
angles: 67.07 67.07 27.62
Sites, in units of the cell vectors:
Ca1 0.250 0.250 0.250
Ag1 0.750 0.750 0.750
Ta1 0.026 0.026 0.974
Ta2 0.474 0.474 0.526

=====

(10)
The following is a PBE calculation of an optimized crystal structure of Ca3TaAg, from Alexandria.

Values from the calculation:
Total magnetic moment: 3.4 μB per cell
Calculated formation energy: 4.373 eV per formula unit
D(E_F): 2.61 states/eV/f.u.

abc: 5.571 5.571 5.571
angles: 90.00 90.00 90.00
Each line ends with the local moment (μB).
Sites, in units of the cell vectors:
Ca1 0.000 0.500 0.000  0.00
Ca2 0.000 0.000 0.500  0.03
Ca3 0.500 0.000 0.000  0.01
Ag1 0.000 0.000 0.000  0.00
Ta1 0.500 0.500 0.500  1.93

=====

(11)
The following is a PBE calculation of an optimized crystal structure of Ca3TaAg, from Alexandria.

Values from the calculation:
Total magnetic moment: 0.0 μB per cell
Calculated formation energy: 5.415 eV per formula unit
D(E_F): 4.70 states/eV/f.u.

abc: 5.567 5.567 5.567
angles: 90.00 90.00 90.00
Sites, in units of the cell vectors:
Ca1 0.000 0.500 0.000
Ca2 0.000 0.000 0.500
Ca3 0.500 0.000 0.000
Ag1 0.500 0.500 0.500
Ta1 0.000 0.000 0.000

=====

(12)
The following is a PBE calculation of an optimized crystal structure of CaTa2Ag, from Alexandria.

Values from the calculation:
Total magnetic moment: 0.0 μB per cell
Calculated formation energy: 3.163 eV per formula unit
D(E_F): 5.79 states/eV/f.u.

abc: 3.950 3.950 11.540
angles: 80.15 80.15 90.00
Sites, in units of the cell vectors:
Ca1 0.500 0.500 0.000
Ca2 0.250 0.750 0.500
Ag1 0.000 0.000 0.000
Ag2 0.750 0.250 0.500
Ta1 0.635 0.125 0.250
Ta2 0.115 0.625 0.250
Ta3 0.375 0.365 0.750
Ta4 0.875 0.885 0.750

=====

(13)
The following is a PBE calculation of an optimized crystal structure of CaTaAg4, from Alexandria.

Values from the calculation:
Total magnetic moment: 2.3 μB per cell
Calculated formation energy: 2.253 eV per formula unit
D(E_F): 8.17 states/eV/f.u.

abc: 5.565 5.565 5.565
angles: 60.00 60.00 60.00
Each line ends with the local moment (μB).
Sites, in units of the cell vectors:
Ca1 0.750 0.750 0.750  0.06
Ta1 0.000 0.000 0.000  1.34
Ag1 0.876 0.375 0.375  0.04
Ag2 0.375 0.375 0.876  0.04
Ag3 0.375 0.876 0.375  0.04
Ag4 0.375 0.375 0.375  0.04

=====

(14)
The following is a PBE calculation of an optimized crystal structure of CaTa2Ag, from Alexandria.

Values from the calculation:
Total magnetic moment: 0.0 μB per cell
Calculated formation energy: 2.606 eV per formula unit
D(E_F): 4.43 states/eV/f.u.

abc: 2.869 2.869 9.918
angles: 90.00 90.00 90.00
Sites, in units of the cell vectors:
Ca1 0.500 0.500 0.750
Ag1 0.500 0.500 0.250
Ta1 0.000 0.000 0.029
Ta2 0.000 0.000 0.471

=====

(15)
The following is a PBE calculation of an optimized crystal structure of CaTa2Ag, from Alexandria.

Values from the calculation:
Total magnetic moment: 0.0 μB per cell
Calculated formation energy: 2.747 eV per formula unit
D(E_F): 4.37 states/eV/f.u.

abc: 2.797 5.254 5.601
angles: 90.00 90.00 90.00
Sites, in units of the cell vectors:
Ca1 0.500 0.500 0.750
Ag1 0.500 0.500 0.250
Ta1 0.000 0.000 0.000
Ta2 0.000 0.000 0.500

=====

(16)
The following is a PBE calculation of an optimized crystal structure of CaTa2Ag, from Alexandria.

Values from the calculation:
Total magnetic moment: 0.0 μB per cell
Calculated formation energy: 2.516 eV per formula unit
D(E_F): 4.02 states/eV/f.u.

abc: 2.830 2.830 10.543
angles: 90.00 90.00 107.52
Sites, in units of the cell vectors:
Ca1 0.500 0.500 0.750
Ag1 0.500 0.500 0.250
Ta1 0.000 0.000 0.018
Ta2 0.000 0.000 0.482

=====

(17)
The following is a PBE calculation of an optimized crystal structure of CaTa2Ag, from Alexandria.

Values from the calculation:
Total magnetic moment: 0.0 μB per cell
Calculated formation energy: 2.442 eV per formula unit
D(E_F): 4.95 states/eV/f.u.

abc: 5.272 3.980 3.980
angles: 90.00 90.00 90.00
Sites, in units of the cell vectors:
Ca1 0.500 0.000 0.500
Ag1 0.500 0.500 0.000
Ta1 0.000 0.000 0.000
Ta2 0.000 0.500 0.500

=====

(18)
The following is a PBE calculation of an optimized crystal structure of CaTa2Ag, from Alexandria.

Values from the calculation:
Total magnetic moment: 0.0 μB per cell
Calculated formation energy: 1.978 eV per formula unit
D(E_F): 6.60 states/eV/f.u.

abc: 10.440 10.440 10.440
angles: 16.67 16.67 16.67
Sites, in units of the cell vectors:
Ca1 0.751 0.751 0.751
Ag1 0.504 0.504 0.504
Ta1 0.995 0.995 0.995
Ta2 0.249 0.249 0.249

=====

(19)
The following is a PBE calculation of an optimized crystal structure of CaTa2Ag, from Alexandria.

Values from the calculation:
Total magnetic moment: 0.0 μB per cell
Calculated formation energy: 4.174 eV per formula unit
D(E_F): 5.52 states/eV/f.u.

abc: 4.820 4.820 4.820
angles: 60.00 60.00 60.00
Sites, in units of the cell vectors:
Ca1 0.000 0.000 0.000
Ag1 0.500 0.500 0.500
Ta1 0.250 0.250 0.250
Ta2 0.750 0.750 0.750

=====

(20)
The following is a PBE calculation of an optimized crystal structure of Ca2TaAg2, from Alexandria.

Values from the calculation:
Total magnetic moment: 0.3 μB per cell
Calculated formation energy: 2.603 eV per formula unit
D(E_F): 3.76 states/eV/f.u.

abc: 3.686 3.686 9.917
angles: 79.29 79.29 90.00
Each line ends with the local moment (μB).
Sites, in units of the cell vectors:
Ca1 0.390 0.390 0.221  0.00
Ca2 0.610 0.610 0.779  0.00
Ag1 0.750 0.250 0.500  0.00
Ag2 0.250 0.750 0.500  0.00
Ta1 0.000 0.000 0.000  0.20